(1)
Au2SeCl (PBE, optimized geometry); crystal system = tetragonal; total DFT energy (no corrections) = -11.42 eV/cell; total magnetic moment = 0.0000 μB/atom; D(E_F) = 2.5 states/eV/f.u.; symmetry = No. 99; E_form (uncorrected) = 0.117 eV/atom
1.0
3.659 0.000 0.000
0.000 3.659 0.000
0.000 0.000 6.896
Au Se Cl
2 1 1
Cartesian
0.000 0.000 0.000
1.830 1.830 1.973
1.830 1.830 6.356
0.000 0.000 3.353

***

(2)
H2Pt (PBE, optimized geometry); crystal system = hexagonal; total DFT energy (no corrections) = -12.56 eV/cell; total magnetic moment = 0.0000 μB/atom; D(E_F) = 1.3 states/eV/f.u.; symmetry = No. 187
1.0
3.066 0.000 0.000
-1.533 2.655 0.000
0.000 0.000 3.407
H Pt
2 1
Cartesian
0.000 0.000 0.000
0.000 1.770 1.704
0.000 1.770 0.000

***

(3)
PmGa2Co2Si (PBE, optimized geometry); crystal system = tetragonal; total DFT energy (no corrections) = -32.60 eV/cell; total magnetic moment = 0.2095 μB/atom; D(E_F) = 5.5 states/eV/f.u.; symmetry = No. 123; E_form (uncorrected) = -0.361 eV/atom
1.0
4.254 0.000 0.000
0.000 4.254 0.000
0.000 0.000 5.622
Pm Ga Co Si
1 2 2 1
Cartesian
0.000 0.000 0.000
2.127 2.127 1.357
2.127 2.127 4.264
0.000 2.127 2.811
2.127 0.000 2.811
0.000 0.000 2.811

***

(4)
Er4TmCu4 (PBE, optimized geometry); crystal system = tetragonal; ΔH_f (0 K) = -50 meV per atom; total DFT energy (no corrections) = -79.11 eV/cell; total magnetic moment = 0.0000 μB/atom; D(E_F) = 11.2 states/eV/f.u.; symmetry = No. 86
1.0
8.607 0.000 0.000
0.000 8.607 0.000
0.000 0.000 5.755
Er Tm Cu
8 2 8
Cartesian
0.501 5.715 0.869
1.411 8.107 3.746
2.892 4.804 3.746
3.803 7.196 0.869
4.804 1.411 4.886
5.715 3.803 2.008
7.196 0.501 2.008
8.107 2.892 4.886
2.152 2.152 1.439
6.456 6.456 4.316
0.192 5.334 3.642
1.031 8.416 0.765
3.273 4.495 0.765
4.112 7.577 3.642
4.495 1.031 2.112
5.334 4.112 4.990
7.577 0.192 4.990
8.416 3.273 2.112

***

(5)
TaRuAu2 (PBE, optimized geometry); crystal system = trigonal; ΔH_f (0 K) = 283 meV per atom; total DFT energy (no corrections) = -26.55 eV/cell; total magnetic moment = 0.1388 μB/atom; D(E_F) = 4.6 states/eV/f.u.; symmetry = No. 166
1.0
1.435 0.828 9.475
-1.435 0.828 9.475
0.000 -1.657 9.475
Ta Ru Au
1 1 2
Cartesian
0.000 0.000 0.000
0.000 0.000 14.213
0.000 0.000 7.067
0.000 0.000 21.360

***

(6)
YFeB (PBE, optimized geometry); crystal system = hexagonal; ΔH_f (0 K) = -202 meV per atom; total DFT energy (no corrections) = -22.21 eV/cell; total magnetic moment = 0.0000 μB/atom; D(E_F) = 2.5 states/eV/f.u.; symmetry = No. 187
1.0
3.536 0.000 0.000
-1.768 3.062 0.000
0.000 0.000 4.056
Y Fe B
1 1 1
Cartesian
0.000 0.000 0.000
1.768 1.021 2.028
0.000 2.041 2.028

***

(7)
SmHo2Hg (PBE, optimized geometry); crystal system = trigonal; ΔH_f (0 K) = -154 meV per atom; total DFT energy (no corrections) = -14.79 eV/cell; total magnetic moment = 0.0000 μB/atom; D(E_F) = 4.7 states/eV/f.u.; symmetry = No. 160
1.0
1.822 1.052 10.500
-1.822 1.052 10.500
0.000 -2.104 10.500
Sm Ho Hg
1 2 1
Cartesian
0.000 0.000 0.000
0.000 0.000 7.611
0.000 0.000 13.394
0.000 0.000 26.260

***

(8)
Ce3SiSb (PBE, optimized geometry); crystal system = monoclinic; total DFT energy (no corrections) = -60.07 eV/cell; total magnetic moment = 0.6071 μB/atom; D(E_F) = 14.8 states/eV/f.u.; symmetry = No. 12; E_form (uncorrected) = -0.537 eV/atom
1.0
7.102 -2.937 0.000
7.102 2.937 0.000
-4.750 0.000 7.056
Ce Si Sb
6 2 2
Cartesian
1.523 0.000 0.182
-1.531 0.000 5.091
2.492 0.000 3.984
6.963 0.000 3.072
10.986 0.000 1.965
7.932 0.000 6.874
-0.190 0.000 2.527
9.645 0.000 4.529
4.583 0.000 0.993
4.872 0.000 6.063

***

(9)
AlCu2Se (PBE, optimized geometry); crystal system = orthorhombic; total DFT energy (no corrections) = -14.96 eV/cell; total magnetic moment = 0.0000 μB/atom; D(E_F) = 1.6 states/eV/f.u.; symmetry = No. 65; E_form (uncorrected) = 0.114 eV/atom
1.0
2.595 -3.440 0.000
2.595 3.440 0.000
0.000 0.000 3.468
Al Cu Se
1 2 1
Cartesian
0.000 0.000 0.000
1.298 1.720 1.734
1.298 -1.720 1.734
2.595 0.000 0.000

***

(10)
CdBi2Te2 (PBE, optimized geometry); crystal system = tetragonal; total DFT energy (no corrections) = -14.08 eV/cell; total magnetic moment = 0.0000 μB/atom; D(E_F) = 2.5 states/eV/f.u.; symmetry = No. 139; E_form (uncorrected) = 0.177 eV/atom
1.0
-2.263 2.263 8.257
2.263 -2.263 8.257
2.263 2.263 -8.257
Cd Bi Te
1 2 2
Cartesian
0.000 0.000 0.000
2.263 0.000 4.129
0.000 2.263 4.129
0.000 0.000 6.727
0.000 0.000 9.787

***

(11)
Be5CuRh4 (PBE, optimized geometry); crystal system = tetragonal; ΔH_f (0 K) = -541 meV per atom; total DFT energy (no corrections) = -57.55 eV/cell; total magnetic moment = 0.0000 μB/atom; D(E_F) = 6.2 states/eV/f.u.; symmetry = No. 123
1.0
2.799 0.000 0.000
0.000 2.799 0.000
0.000 0.000 13.666
Be Cu Rh
5 1 4
Cartesian
0.000 0.000 0.000
0.000 0.000 2.773
0.000 0.000 5.407
0.000 0.000 8.259
0.000 0.000 10.893
1.400 1.400 6.833
1.400 1.400 1.391
1.400 1.400 4.183
1.400 1.400 9.483
1.400 1.400 12.275

***

(12)
TaNiTe4 (PBE, optimized geometry); crystal system = cubic; total DFT energy (no corrections) = -21.86 eV/cell; total magnetic moment = 0.2379 μB/atom; D(E_F) = 9.9 states/eV/f.u.; symmetry = No. 216; E_form (uncorrected) = 1.390 eV/atom
1.0
0.000 4.305 4.305
4.305 0.000 4.305
4.305 4.305 0.000
Ta Ni Te
1 1 4
Cartesian
0.000 0.000 0.000
2.152 2.152 2.152
5.379 3.231 3.231
3.231 5.379 3.231
3.231 3.231 5.379
5.379 5.379 5.379

***

(13)
Ca8Ag2Ir (PBE, optimized geometry); crystal system = monoclinic; ΔH_f (0 K) = -206 meV per atom; total DFT energy (no corrections) = -32.84 eV/cell; total magnetic moment = 0.0000 μB/atom; D(E_F) = 7.8 states/eV/f.u.; symmetry = No. 8
1.0
4.366 -6.996 0.000
4.366 6.996 0.000
-2.983 0.000 5.863
Ca Ag Ir
8 2 1
Cartesian
0.000 0.000 0.000
2.402 2.577 1.201
3.550 5.275 3.442
2.299 1.775 4.957
2.402 -2.577 1.201
4.665 0.000 2.224
2.299 -1.775 4.957
3.550 -5.275 3.442
5.051 2.671 3.839
5.051 -2.671 3.839
0.023 0.000 5.675

***

(14)
PuHg4Bi (PBE, optimized geometry); crystal system = monoclinic; ΔH_f (0 K) = -124 meV per atom; total DFT energy (no corrections) = -20.17 eV/cell; total magnetic moment = 0.9205 μB/atom; D(E_F) = 13.0 states/eV/f.u.; symmetry = No. 10
1.0
4.515 0.000 0.000
0.000 4.705 0.000
-2.247 0.000 7.366
Pu Hg Bi
1 4 1
Cartesian
0.000 0.000 0.000
0.003 2.352 2.481
0.005 0.000 4.831
2.263 0.000 2.535
2.266 2.352 4.884
2.257 2.352 0.000

***

(15)
Bi2TeHAu (PBE, optimized geometry); crystal system = tetragonal; total DFT energy (no corrections) = -16.89 eV/cell; total magnetic moment = 0.0000 μB/atom; D(E_F) = 2.6 states/eV/f.u.; symmetry = No. 123
1.0
5.764 0.000 0.000
0.000 5.764 0.000
0.000 0.000 3.638
Bi Te H Au
2 1 1 1
Cartesian
0.000 2.882 0.000
2.882 0.000 0.000
0.000 0.000 1.819
2.882 2.882 1.819
2.882 2.882 0.000

***

(16)
Rb3CdHg3 (PBE, optimized geometry); crystal system = cubic; ΔH_f (0 K) = 139 meV per atom; total DFT energy (no corrections) = -7.50 eV/cell; total magnetic moment = 0.0000 μB/atom; D(E_F) = 10.9 states/eV/f.u.; symmetry = No. 223
1.0
10.054 0.000 0.000
0.000 10.054 0.000
0.000 0.000 10.054
Rb Cd Hg
6 2 6
Cartesian
0.000 2.513 5.027
0.000 7.540 5.027
2.513 5.027 0.000
5.027 0.000 2.513
5.027 0.000 7.540
7.540 5.027 0.000
0.000 0.000 0.000
5.027 5.027 5.027
0.000 5.027 2.513
0.000 5.027 7.540
2.513 0.000 5.027
5.027 2.513 0.000
5.027 7.540 0.000
7.540 0.000 5.027

***

(17)
NdSm7Sc4 (PBE, optimized geometry); crystal system = triclinic; ΔH_f (0 K) = 34 meV per atom; total DFT energy (no corrections) = -62.73 eV/cell; total magnetic moment = 0.0000 μB/atom; D(E_F) = 16.7 states/eV/f.u.; symmetry = No. 2
1.0
6.133 0.000 0.000
-0.005 7.089 0.000
-2.052 -0.007 8.449
Nd Sm Sc
1 7 4
Cartesian
0.000 0.000 0.000
-0.002 3.545 0.000
0.023 -0.001 5.601
1.057 5.266 2.882
3.041 1.826 0.065
1.035 5.257 8.384
3.019 1.817 5.568
4.053 7.084 2.848
-0.045 3.533 5.569
0.977 1.837 2.851
3.099 5.246 5.598
4.121 3.550 2.880

***

(18)
MgSiPd3 (PBE, optimized geometry); crystal system = monoclinic; total DFT energy (no corrections) = -100.12 eV/cell; total magnetic moment = 0.0000 μB/atom; D(E_F) = 2.3 states/eV/f.u.; symmetry = No. 15; E_form (uncorrected) = -0.487 eV/atom
1.0
7.205 -6.014 0.000
7.205 6.014 0.000
-1.116 0.000 3.863
Mg Si Pd
4 4 12
Cartesian
3.017 1.230 1.925
2.459 -1.230 3.856
10.833 1.230 0.006
10.275 -1.230 1.938
6.925 3.285 0.966
6.367 1.013 2.897
6.925 -1.013 0.966
6.367 -3.285 2.897
0.646 0.924 3.328
5.002 3.045 2.502
1.205 -0.924 1.397
5.489 1.015 0.548
7.732 3.045 3.292
4.931 -1.015 2.480
8.362 1.015 1.383
5.561 -3.045 0.571
7.804 -1.015 3.314
12.088 0.924 2.466
8.290 -3.045 1.361
12.646 -0.924 0.535

***

(19)
BaPtPb2 (PBE, optimized geometry); crystal system = tetragonal; ΔH_f (0 K) = -278 meV per atom; total DFT energy (no corrections) = -16.49 eV/cell; total magnetic moment = 0.0000 μB/atom; D(E_F) = 2.8 states/eV/f.u.; symmetry = No. 99
1.0
3.769 0.000 0.000
0.000 3.769 0.000
0.000 0.000 8.347
Ba Pt Pb
1 1 2
Cartesian
0.000 0.000 0.000
1.884 1.884 6.198
0.000 0.000 4.889
1.884 1.884 2.774

***

(20)
Ca2FeP2 (PBE, optimized geometry); crystal system = tetragonal; ΔH_f (0 K) = -609 meV per atom; total DFT energy (no corrections) = -52.66 eV/cell; total magnetic moment = 0.3869 μB/atom; D(E_F) = 2.1 states/eV/f.u.; symmetry = No. 127
1.0
6.492 0.000 0.000
0.000 6.492 0.000
0.000 0.000 4.360
Ca Fe P
4 2 4
Cartesian
1.140 2.106 0.000
2.106 5.352 0.000
4.386 1.140 0.000
5.352 4.386 0.000
0.000 0.000 2.180
3.246 3.246 2.180
0.855 4.101 2.180
2.391 0.855 2.180
4.101 5.637 2.180
5.637 2.391 2.180